(1)
Material: MnReIr2
Method: DFT, PBEsol
State: optimized geometry

Geometry as POSCAR:
```
MnReIr2
1.0
2.676 0.000 0.000
-1.338 4.415 -0.013
0.000 -0.821 4.564
Ir Mn Re
2 1 1
Cartesian
0.000 0.003 0.041 Ir
0.000 1.573 3.344 Ir
1.338 -0.414 2.324 Mn
1.338 2.021 1.126 Re
```

Summary:
Its volume is 54 Å³/cell. The value obtained for the energy above the most stable polymorph in this dataset is 0.121 eV/atom.

(2)
Material: MnReIr2
Method: DFT, PBEsol
State: optimized geometry

Geometry as POSCAR:
```
MnReIr2
1.0
-2.043 -1.474 0.931
0.893 -3.023 -2.828
2.877 -2.038 3.088
Re Ir Mn
1 2 1
Cartesian
0.056 -2.695 -0.272 Re
0.119 -0.085 0.128 Ir
2.455 -2.934 0.741 Ir
0.536 -1.840 2.137 Mn
```

Summary:
Its volume is 53 Å³/cell. The value obtained for the energy above the most stable polymorph in this dataset is 0.000 eV/atom.

(3)
Material: MnReIr2
Method: DFT, PBEsol
State: optimized geometry

Geometry as POSCAR:
```
MnReIr2
1.0
2.693 0.000 0.000
0.000 3.772 0.000
0.000 0.000 5.342
Re Ir Mn
1 2 1
Cartesian
1.346 1.886 2.671 Re
0.000 0.000 4.028 Ir
0.000 0.000 1.314 Ir
1.346 1.886 0.000 Mn
```

Summary:
Its volume is 54 Å³/cell. The value obtained for the energy above the most stable polymorph in this dataset is 0.053 eV/atom.

(4)
Material: MnRe2Ir
Method: DFT, PBEsol
State: optimized geometry

Geometry as POSCAR:
```
MnRe2Ir
1.0
-1.402 0.539 2.231
-1.903 -1.734 -0.777
3.570 -5.522 3.579
Ir Mn Re
1 1 2
Cartesian
1.821 -2.817 1.826 Ir
1.035 -4.755 3.422 Mn
3.504 -5.421 3.514 Re
-0.742 -2.006 1.640 Re
```

Summary:
Its volume is 54 Å³/cell. The value obtained for the energy above the most stable polymorph in this dataset is 0.000 eV/atom.

(5)
Material: MnReIr2
Method: DFT, PBEsol
State: optimized geometry

Geometry as POSCAR:
```
MnReIr2
1.0
-2.987 2.003 -1.199
-2.253 -2.982 0.633
2.017 1.689 3.791
Re Ir Mn
1 2 1
Cartesian
0.000 0.000 0.000 Re
-1.795 1.601 1.155 Ir
-1.428 -0.891 2.070 Ir
-2.620 -0.490 -0.283 Mn
```

Summary:
Its volume is 54 Å³/cell. The value obtained for the energy above the most stable polymorph in this dataset is 0.089 eV/atom.

(6)
Material: Mn3ReIr
Method: DFT, PBEsol
State: optimized geometry

Geometry as POSCAR:
```
Mn3ReIr
1.0
-0.182 1.697 4.197
-2.857 -3.300 1.211
3.511 -2.598 1.203
Re Ir Mn
1 1 3
Cartesian
0.236 -2.101 3.305 Re
0.000 0.000 0.000 Ir
-1.429 -1.650 0.605 Mn
1.755 -1.299 0.601 Mn
-0.091 0.848 2.098 Mn
```

Summary:
Its volume is 93 Å³/cell.

(7)
Material: Mn4ReIr
Method: DFT, PBEsol
State: optimized geometry

Geometry as POSCAR:
```
Mn4ReIr
1.0
4.614 0.000 0.000
2.307 3.996 0.000
2.307 1.332 3.768
Ir Mn Re
1 4 1
Cartesian
0.000 0.000 0.000 Ir
3.446 1.990 1.407 Mn
4.614 2.664 3.315 Mn
5.783 1.990 1.407 Mn
4.614 4.013 1.407 Mn
6.922 3.996 2.826 Re
```

Summary:
Its volume is 69 Å³/cell.

(8)
Material: Mn2ReIr
Method: DFT, PBEsol
State: optimized geometry

Geometry as POSCAR:
```
Mn2ReIr
1.0
2.638 0.000 0.000
1.319 2.285 0.000
1.319 0.762 8.422
Ir Mn Re
1 2 1
Cartesian
0.000 0.000 0.000 Ir
1.319 0.762 2.097 Mn
3.957 2.285 6.325 Mn
2.638 1.523 4.211 Re
```

Summary:
Its volume is 51 Å³/cell.

(9)
Material: Mn2ReIr
Method: DFT, PBEsol
State: optimized geometry

Geometry as POSCAR:
```
Mn2ReIr
1.0
-1.972 0.331 -1.730
2.312 -0.638 -2.757
-1.094 -5.123 0.267
Ir Mn Re
1 2 1
Cartesian
-0.660 -4.043 -2.041 Ir
-0.020 -0.094 0.005 Mn
-0.087 -1.361 -2.181 Mn
-0.533 -2.495 0.130 Re
```

Summary:
Its volume is 51 Å³/cell.

(10)
Material: Mn2ReIr
Method: DFT, PBEsol
State: optimized geometry

Geometry as POSCAR:
```
Mn2ReIr
1.0
2.636 0.000 0.000
1.318 2.283 0.000
1.318 0.761 8.372
Ir Mn Re
1 2 1
Cartesian
1.318 0.761 1.993 Ir
1.318 0.761 8.252 Mn
3.954 2.283 6.400 Mn
2.636 1.522 4.284 Re
```

Summary:
Its volume is 50 Å³/cell.

(11)
Material: MnReIr2
Method: DFT, PBEsol
State: optimized geometry

Geometry as POSCAR:
```
MnReIr2
1.0
-0.772 -2.382 -0.976
3.579 -2.028 2.118
-3.651 0.018 2.843
Re Ir Mn
1 2 1
Cartesian
-0.386 -1.191 -0.488 Re
-1.825 0.009 1.421 Ir
1.790 -1.014 1.059 Ir
-0.422 -2.196 1.992 Mn
```

Summary:
Its volume is 54 Å³/cell. The value obtained for the energy above the most stable polymorph in this dataset is 0.072 eV/atom.

(12)
Material: MnRe2Ir
Method: DFT, PBEsol
State: optimized geometry

Geometry as POSCAR:
```
MnRe2Ir
1.0
-3.804 0.950 1.763
-0.721 -0.861 4.150
-0.311 3.213 2.840
Ir Mn Re
1 1 2
Cartesian
-2.418 1.651 4.376 Ir
-3.627 2.476 6.564 Mn
0.000 0.000 0.000 Re
-1.209 0.825 2.188 Re
```

Summary:
Its volume is 56 Å³/cell. The value obtained for the energy above the most stable polymorph in this dataset is 0.245 eV/atom.

no.,E_form (eV/atom)
1,-0.0904
2,-0.2115
3,-0.1588
4,-0.0048
5,-0.1228
6,1.9406
7,-0.0632
8,0.0821
9,-0.0400
10,0.0961
11,-0.1397
12,0.2401